DFT (PBE) results for an optimized crystal structure of Er8TmTl2.

The structure in CIF format:
```
data_Er8TmTl2
_space_group_name_H-M_alt 'P 1'
_space_group_IT_number 1
_cell_length_a 5.502
_cell_length_b 8.739
_cell_length_c 8.739
_cell_angle_alpha 119.41
_cell_angle_beta 101.55
_cell_angle_gamma 101.55
loop_
_space_group_symop_operation_xyz
'x,y,z'
loop_
_atom_site_label
_atom_site_fract_x
_atom_site_fract_y
_atom_site_fract_z
Er1 0.500 0.216 0.784
Er2 0.500 0.784 0.216
Er3 0.702 0.399 0.399
Er4 0.298 0.601 0.601
Er5 0.117 0.095 0.322
Er6 0.883 0.905 0.678
Er7 0.883 0.678 0.905
Er8 0.117 0.322 0.095
Tm1 0.500 0.000 0.000
Tl1 0.000 0.306 0.694
Tl2 0.000 0.694 0.306
```

Values from the calculation:
The crystal system is monoclinic. The energy of formation from the pure elements is 7 meV/atom. For the total DFT energy (no corrections), the calculation gives -4.148 eV per atom. The density of states at the Fermi level is 14.94 states/eV per cell. The space group is C2/m, No. 12. Its total magnetization is 0.000 μB/atom.

DFT (PBE) results for an optimized crystal structure of Na2MnCoRe.

The structure in CIF format:
```
data_Na2MnCoRe
_space_group_name_H-M_alt 'P 1'
_space_group_IT_number 1
_cell_length_a 5.045
_cell_length_b 4.462
_cell_length_c 5.045
_cell_angle_alpha 90.00
_cell_angle_beta 90.00
_cell_angle_gamma 90.00
loop_
_space_group_symop_operation_xyz
'x,y,z'
loop_
_atom_site_label
_atom_site_fract_x
_atom_site_fract_y
_atom_site_fract_z
Co1 0.000 0.500 0.000
Na1 0.000 0.000 0.500
Na2 0.500 0.000 0.000
Mn1 0.000 0.000 0.000
Re1 0.500 0.500 0.500
```

Values from the calculation:
The crystal system is tetragonal. The energy of formation from the pure elements is 1972 meV/atom. For the total DFT energy (no corrections), the calculation gives -4.300 eV per atom. The density of states at the Fermi level is 3.97 states/eV per cell. The space group is P4/mmm, No. 123. Its total magnetization is 1.849 μB/atom.

DFT (PBE) results for an optimized crystal structure of Zr6In3As.

The structure in CIF format:
```
data_Zr6In3As
_space_group_name_H-M_alt 'P 1'
_space_group_IT_number 1
_cell_length_a 6.526
_cell_length_b 7.779
_cell_length_c 9.339
_cell_angle_alpha 90.00
_cell_angle_beta 88.04
_cell_angle_gamma 90.00
loop_
_space_group_symop_operation_xyz
'x,y,z'
loop_
_atom_site_label
_atom_site_fract_x
_atom_site_fract_y
_atom_site_fract_z
In1 0.095 0.643 0.246
In2 0.595 0.857 0.746
In3 0.000 0.000 0.500
In4 0.500 0.500 0.000
In5 0.905 0.357 0.754
In6 0.405 0.143 0.254
Zr1 0.109 0.318 0.057
Zr2 0.136 0.353 0.450
Zr3 0.609 0.182 0.557
Zr4 0.864 0.647 0.550
Zr5 0.891 0.682 0.943
Zr6 0.391 0.818 0.443
Zr7 0.721 0.437 0.261
Zr8 0.364 0.853 0.050
Zr9 0.279 0.563 0.739
Zr10 0.779 0.937 0.239
Zr11 0.636 0.147 0.950
Zr12 0.221 0.063 0.761
As1 0.000 0.000 0.000
As2 0.500 0.500 0.500
```

Values from the calculation:
The crystal system is monoclinic. The energy of formation from the pure elements is -234 meV/atom. For the total DFT energy (no corrections), the calculation gives -6.650 eV per atom. The density of states at the Fermi level is 12.84 states/eV per cell. The space group is P2_1/c, No. 14. Its total magnetization is 0.000 μB/atom.

- Which value of energy of formation from the pure elements does entry 2 give?
  1972 meV/atom